# Ca3SiGe2Au6 (PBE-GGA, optimized geometry)
# Formation energy from raw total energies   -0.463 eV/atom
data_Ca3SiGe2Au6
_chemical_formula_sum 'Ca3 Si1 Ge2 Au6'
_cell_length_a 6.3694
_cell_length_b 6.3694
_cell_length_c 7.9023
_cell_angle_alpha 90.00
_cell_angle_beta 90.00
_cell_angle_gamma 120.00
_space_group_name_H-M_alt 'P -3 m 1'
_space_group_IT_number 164
_space_group_name_Hall '-P 3 2"'
loop_
_atom_site_label
_atom_site_type_symbol
_atom_site_fract_x
_atom_site_fract_y
_atom_site_fract_z
_atom_site_occupancy
Ca1 Ca 0.0000 0.0000 0.0000 1
Ca2 Ca 0.3333 0.6667 0.6723 1
Si1 Si 0.0000 0.0000 0.5000 1
Ge1 Ge 0.3333 0.6667 0.0649 1
Au1 Au 0.1764 0.3528 0.3089 1

# Ca2SmGe3Au12 (PBE-GGA, optimized geometry)
# Calculated formation energy   -0.16 eV/atom
data_Ca2SmGe3Au12
_chemical_formula_sum 'Ca6 Sm3 Ge9 Au36'
_cell_length_a 9.1910
_cell_length_b 9.1910
_cell_length_c 17.7150
_cell_angle_alpha 90.00
_cell_angle_beta 90.00
_cell_angle_gamma 120.00
_space_group_name_H-M_alt 'R -3 m'
_space_group_IT_number 166
_space_group_name_Hall '-R 3 2"'
loop_
_atom_site_label
_atom_site_type_symbol
_atom_site_fract_x
_atom_site_fract_y
_atom_site_fract_z
_atom_site_occupancy
Ca1 Ca 0.0000 0.0000 0.0951 1
Sm1 Sm 0.0000 0.0000 0.5000 1
Ge1 Ge 0.0000 0.5000 0.0000 1
Au1 Au 0.0174 0.5087 0.3154 1
Au2 Au 0.0331 0.5166 0.8554 1